Entry 1:
# PuPa3P4N12 PBE optimized geometry
# **Energy relative to the elements, uncorrected**: -0.798 eV/atom
# **Total energy**: -9.02 eV/atom
# **Total magnetic moment**: 5.7 μB/f.u.
data_PuPa3P4N12
_symmetry_space_group_name_H-M 'R 3 2'
_symmetry_Int_Tables_number 155
_symmetry_space_group_name_Hall 'R 3 2"'
_cell_length_a 10.8961
_cell_length_b 10.8961
_cell_length_c 8.7383
_cell_angle_alpha 90.00
_cell_angle_beta 90.00
_cell_angle_gamma 120.00
loop_
_atom_site_label
_atom_site_type_symbol
_atom_site_fract_x
_atom_site_fract_y
_atom_site_fract_z
Pu1 Pu 0.0000 0.0000 0.0000
Pa1 Pa 0.0000 0.5408 0.0000
P1 P 0.0000 0.0000 0.5000
P2 P 0.0000 0.4577 0.5000
N1 N 0.0000 0.6046 0.5000
N2 N 0.0000 0.8540 0.5000
N3 N 0.0179 0.2035 0.1782

***

Entry 2:
# PuPaPN PBE optimized geometry
# **Energy relative to the elements, uncorrected**: -1.193 eV/atom
# **Total energy**: -10.58 eV/atom
# **Total magnetic moment**: 5.0 μB/f.u.
data_PuPaPN
_symmetry_space_group_name_H-M 'P 4/n m m'
_symmetry_Int_Tables_number 129
_cell_length_a 3.929
_cell_length_b 3.929
_cell_length_c 9.431
_cell_angle_alpha 90.00
_cell_angle_beta 90.00
_cell_angle_gamma 90.00
loop_
_symmetry_equiv_pos_as_xyz
'x,y,z'
'-x,-y,-z'
'-y+1/2,x,z'
'y+1/2,-x,-z'
'-x+1/2,-y+1/2,z'
'x+1/2,y+1/2,-z'
'y,-x+1/2,z'
'-y,x+1/2,-z'
'x+1/2,-y,-z'
'-x+1/2,y,z'
'-y,-x,-z'
'y,x,z'
'-x,y+1/2,-z'
'x,-y+1/2,z'
'y+1/2,x+1/2,-z'
'-y+1/2,-x+1/2,z'
loop_
_atom_site_label
_atom_site_type_symbol
_atom_site_fract_x
_atom_site_fract_y
_atom_site_fract_z
Pu1 Pu 0.250 0.750 0.000
Pa1 Pa 0.250 0.250 0.373
P1 P 0.250 0.250 0.777
N1 N 0.250 0.750 0.500

***

Entry 3:
# PuPa2P2N2 PBE optimized geometry
# **Energy relative to the elements, uncorrected**: -1.372 eV/atom
# **Total energy**: -10.06 eV/atom
# **Total magnetic moment**: 6.0 μB/f.u.
data_PuPa2P2N2
_symmetry_space_group_name_H-M 'C 1 2/m 1'
_symmetry_Int_Tables_number 12
_symmetry_space_group_name_Hall '-C 2y'
_cell_length_a 12.047
_cell_length_b 3.851
_cell_length_c 6.713
_cell_angle_alpha 90.00
_cell_angle_beta 121.93
_cell_angle_gamma 90.00
loop_
_atom_site_label
_atom_site_type_symbol
_atom_site_fract_x
_atom_site_fract_y
_atom_site_fract_z
Pu1 Pu 0.000 0.000 0.000
Pa1 Pa 0.190 0.000 0.732
P1 P 0.069 0.500 0.344
N1 N 0.214 0.000 0.094

***

Entry 4:
# PuPaP2N PBE optimized geometry
# **Energy relative to the elements, uncorrected**: -1.157 eV/atom
# **Total energy**: -9.75 eV/atom
# **Total magnetic moment**: 4.1 μB/f.u.
data_PuPaP2N
_symmetry_space_group_name_H-M 'P 4/n m m'
_symmetry_Int_Tables_number 129
_cell_length_a 3.876
_cell_length_b 3.876
_cell_length_c 13.330
_cell_angle_alpha 90.00
_cell_angle_beta 90.00
_cell_angle_gamma 90.00
loop_
_symmetry_equiv_pos_as_xyz
'x,y,z'
'-x,-y,-z'
'-y+1/2,x,z'
'y+1/2,-x,-z'
'-x+1/2,-y+1/2,z'
'x+1/2,y+1/2,-z'
'y,-x+1/2,z'
'-y,x+1/2,-z'
'x+1/2,-y,-z'
'-x+1/2,y,z'
'-y,-x,-z'
'y,x,z'
'-x,y+1/2,-z'
'x,-y+1/2,z'
'y+1/2,x+1/2,-z'
'-y+1/2,-x+1/2,z'
loop_
_atom_site_label
_atom_site_type_symbol
_atom_site_fract_x
_atom_site_fract_y
_atom_site_fract_z
Pu1 Pu 0.250 0.250 0.114
Pa1 Pa 0.250 0.250 0.592
P1 P 0.250 0.250 0.313
P2 P 0.250 0.250 0.906
N1 N 0.250 0.750 0.500

***

Entry 5:
# Rb4Pa3PN8 PBE optimized geometry
# **Energy relative to the elements, uncorrected**: -0.656 eV/atom
# **Total energy**: -7.18 eV/atom
# **Total magnetic moment**: 0.0 μB/f.u.
data_Rb4Pa3PN8
_symmetry_space_group_name_H-M 'C 1 2/m 1'
_symmetry_Int_Tables_number 12
_symmetry_space_group_name_Hall '-C 2y'
_cell_length_a 12.631
_cell_length_b 6.810
_cell_length_c 7.645
_cell_angle_alpha 90.00
_cell_angle_beta 116.55
_cell_angle_gamma 90.00
loop_
_atom_site_label
_atom_site_type_symbol
_atom_site_fract_x
_atom_site_fract_y
_atom_site_fract_z
Rb1 Rb 0.000 0.000 0.000
Rb2 Rb 0.000 0.500 0.000
Rb3 Rb 0.250 0.250 0.000
Pa1 Pa 0.000 0.000 0.500
Pa2 Pa 0.250 0.250 0.500
P1 P 0.000 0.500 0.500
N1 N 0.040 0.309 0.379
N2 N 0.196 0.000 0.660
N3 N 0.218 0.000 0.304

***

Entry 6:
# RbPa2P2N6 PBE optimized geometry
# **Energy relative to the elements, uncorrected**: -0.899 eV/atom
# **Total energy**: -8.24 eV/atom
# **Total magnetic moment**: 0.7 μB/f.u.
data_RbPa2P2N6
_symmetry_space_group_name_H-M 'C 1 2/m 1'
_symmetry_Int_Tables_number 12
_symmetry_space_group_name_Hall '-C 2y'
_cell_length_a 11.078
_cell_length_b 6.247
_cell_length_c 6.463
_cell_angle_alpha 90.00
_cell_angle_beta 122.02
_cell_angle_gamma 90.00
loop_
_atom_site_label
_atom_site_type_symbol
_atom_site_fract_x
_atom_site_fract_y
_atom_site_fract_z
Rb1 Rb 0.000 0.000 0.000
Pa1 Pa 0.189 0.500 0.302
P1 P 0.106 0.500 0.668
N1 N 0.073 0.500 0.886
N2 N 0.187 0.292 0.638

***

Entry 7:
# Rb3Pa3PN8 PBE optimized geometry
# **Energy relative to the elements, uncorrected**: -0.676 eV/atom
# **Total energy**: -7.57 eV/atom
# **Total magnetic moment**: 0.9 μB/f.u.
data_Rb3Pa3PN8
_symmetry_space_group_name_H-M 'C 1 2/m 1'
_symmetry_Int_Tables_number 12
_symmetry_space_group_name_Hall '-C 2y'
_cell_length_a 12.433
_cell_length_b 6.799
_cell_length_c 7.885
_cell_angle_alpha 90.00
_cell_angle_beta 120.66
_cell_angle_gamma 90.00
loop_
_atom_site_label
_atom_site_type_symbol
_atom_site_fract_x
_atom_site_fract_y
_atom_site_fract_z
Rb1 Rb 0.000 0.000 0.000
Rb2 Rb 0.250 0.250 0.000
Pa1 Pa 0.000 0.500 0.500
Pa2 Pa 0.250 0.250 0.500
P1 P 0.000 0.000 0.500
N1 N 0.032 0.185 0.379
N2 N 0.203 0.500 0.663
N3 N 0.207 0.500 0.307

***

Entry 8:
# Rb2PaPN4 PBE optimized geometry
# **Energy relative to the elements, uncorrected**: -0.475 eV/atom
# **Total energy**: -6.74 eV/atom
# **Total magnetic moment**: 0.0 μB/f.u.
data_Rb2PaPN4
_symmetry_space_group_name_H-M 'F d d d'
_symmetry_Int_Tables_number 70
_cell_length_a 5.469
_cell_length_b 12.553
_cell_length_c 23.772
_cell_angle_alpha 90.00
_cell_angle_beta 90.00
_cell_angle_gamma 90.00
loop_
_symmetry_equiv_pos_as_xyz
'x,y,z'
'-x,-y,-z'
'-x+1/4,-y+1/4,z'
'x+1/4,y+1/4,-z'
'x,-y+1/4,-z+1/4'
'-x,y+1/4,z+1/4'
'-x+1/4,y,-z+1/4'
'x+1/4,-y,z+1/4'
'x,y+1/2,z+1/2'
'-x,-y+1/2,-z+1/2'
'-x+1/4,-y+3/4,z+1/2'
'x+1/4,y+3/4,-z+1/2'
'x,-y+3/4,-z+3/4'
'-x,y+3/4,z+3/4'
'-x+1/4,y+1/2,-z+3/4'
'x+1/4,-y+1/2,z+3/4'
'x+1/2,y,z+1/2'
'-x+1/2,-y,-z+1/2'
'-x+3/4,-y+1/4,z+1/2'
'x+3/4,y+1/4,-z+1/2'
'x+1/2,-y+1/4,-z+3/4'
'-x+1/2,y+1/4,z+3/4'
'-x+3/4,y,-z+3/4'
'x+3/4,-y,z+3/4'
'x+1/2,y+1/2,z'
'-x+1/2,-y+1/2,-z'
'-x+3/4,-y+3/4,z'
'x+3/4,y+3/4,-z'
'x+1/2,-y+3/4,-z+1/4'
'-x+1/2,y+3/4,z+1/4'
'-x+3/4,y+1/2,-z+1/4'
'x+3/4,-y+1/2,z+1/4'
loop_
_atom_site_label
_atom_site_type_symbol
_atom_site_fract_x
_atom_site_fract_y
_atom_site_fract_z
Rb1 Rb 0.125 0.125 0.304
Pa1 Pa 0.125 0.125 0.125
P1 P 0.125 0.125 0.625
N1 N 0.066 0.299 0.837

***

What is the total energy in the fourth record? -9.75 eV/atom